(1)
# NdSc2Rh9, optimized geometry, DFT GGA-PBE
data_NdSc2Rh9
_chemical_formula_sum 'Nd3 Sc6 Rh27'
_space_group_name_H-M_alt 'R -3 m'
_space_group_IT_number 166
_space_group_name_Hall '-R 3 2"'
_cell_length_a 5.2205
_cell_length_b 5.2205
_cell_length_c 25.9178
_cell_angle_alpha 90.00
_cell_angle_beta 90.00
_cell_angle_gamma 120.00
loop_
_atom_site_label
_atom_site_fract_x
_atom_site_fract_y
_atom_site_fract_z
_atom_site_occupancy
Nd1 0.0000 0.0000 0.0000 1
Sc1 0.0000 0.0000 0.1406 1
Rh1 0.0000 0.0000 0.3335 1
Rh2 0.0000 0.0000 0.5000 1
Rh3 0.0026 0.5013 0.9149 1
# ΔE_f (eV/atom): -0.5189

---

(2)
# NdScSi2Rh, optimized geometry, DFT GGA-PBE
data_NdScSi2Rh
_chemical_formula_sum 'Nd2 Sc2 Si4 Rh2'
_space_group_name_H-M_alt 'I -4 m 2'
_space_group_IT_number 119
_space_group_name_Hall 'I -4 -2'
_cell_length_a 4.1384
_cell_length_b 4.1384
_cell_length_c 11.1550
_cell_angle_alpha 90.00
_cell_angle_beta 90.00
_cell_angle_gamma 90.00
loop_
_atom_site_label
_atom_site_fract_x
_atom_site_fract_y
_atom_site_fract_z
_atom_site_occupancy
Nd1 0.0000 0.0000 0.0000 1
Sc1 0.0000 0.5000 0.7500 1
Si1 0.0000 0.0000 0.3927 1
Rh1 0.0000 0.5000 0.2500 1
# Uncorrected formation energy (meV per atom): -915

---

(3)
# Nd2ScSn2Rh5, optimized geometry, DFT GGA-PBE
data_Nd2ScSn2Rh5
_chemical_formula_sum 'Nd4 Sc2 Sn4 Rh10'
_space_group_name_H-M_alt 'P 4/m b m'
_space_group_IT_number 127
_space_group_name_Hall '-P 4 2ab'
_cell_length_a 10.3680
_cell_length_b 10.3680
_cell_length_c 3.7270
_cell_angle_alpha 90.00
_cell_angle_beta 90.00
_cell_angle_gamma 90.00
loop_
_atom_site_label
_atom_site_fract_x
_atom_site_fract_y
_atom_site_fract_z
_atom_site_occupancy
Nd1 0.1709 0.3291 0.0000 1
Sc1 0.0000 0.0000 0.0000 1
Sn1 0.1280 0.6280 0.0000 1
Rh1 0.0000 0.5000 0.5000 1
Rh2 0.0594 0.7983 0.5000 1
# ΔE_f (eV/atom): -0.5994

---

(4)
# Nd2ScSn3Rh4, optimized geometry, DFT GGA-PBE
data_Nd2ScSn3Rh4
_chemical_formula_sum 'Nd2 Sc1 Sn3 Rh4'
_space_group_name_H-M_alt 'P -4 m 2'
_space_group_IT_number 115
_cell_length_a 4.3631
_cell_length_b 4.3631
_cell_length_c 11.3571
_cell_angle_alpha 90.00
_cell_angle_beta 90.00
_cell_angle_gamma 90.00
loop_
_space_group_symop_operation_xyz
'x,y,z'
'y,-x,-z'
'-x,-y,z'
'-y,x,-z'
'-x,y,z'
'-y,-x,-z'
'x,-y,z'
'y,x,-z'
loop_
_atom_site_label
_atom_site_fract_x
_atom_site_fract_y
_atom_site_fract_z
_atom_site_occupancy
Nd1 0.0000 0.5000 0.2401 1
Sc1 0.0000 0.0000 0.5000 1
Sn1 0.0000 0.5000 0.8709 1
Sn2 0.5000 0.5000 0.5000 1
Rh1 0.0000 0.0000 0.0000 1
Rh2 0.0000 0.5000 0.6404 1
Rh3 0.5000 0.5000 0.0000 1
# ΔE_f (eV/atom): -0.7714

---

(5)
# Nd2ScTa2Rh5, optimized geometry, DFT GGA-PBE
data_Nd2ScTa2Rh5
_chemical_formula_sum 'Nd4 Sc2 Ta4 Rh10'
_space_group_name_H-M_alt 'P 4/m b m'
_space_group_IT_number 127
_space_group_name_Hall '-P 4 2ab'
_cell_length_a 10.8690
_cell_length_b 10.8690
_cell_length_c 3.2721
_cell_angle_alpha 90.00
_cell_angle_beta 90.00
_cell_angle_gamma 90.00
loop_
_atom_site_label
_atom_site_fract_x
_atom_site_fract_y
_atom_site_fract_z
_atom_site_occupancy
Nd1 0.1729 0.3271 0.0000 1
Sc1 0.0000 0.0000 0.0000 1
Ta1 0.1360 0.6360 0.0000 1
Rh1 0.0000 0.5000 0.5000 1
Rh2 0.0514 0.7999 0.5000 1
# ΔE_f (eV/atom): -0.4542

---

(6)
# NdScTlRh, optimized geometry, DFT GGA-PBE
data_NdScTlRh
_chemical_formula_sum 'Nd4 Sc4 Tl4 Rh4'
_space_group_name_H-M_alt 'F -4 3 m'
_space_group_IT_number 216
_space_group_name_Hall 'F -4 2 3'
_cell_length_a 7.1816
_cell_length_b 7.1816
_cell_length_c 7.1816
_cell_angle_alpha 90.00
_cell_angle_beta 90.00
_cell_angle_gamma 90.00
loop_
_atom_site_label
_atom_site_fract_x
_atom_site_fract_y
_atom_site_fract_z
_atom_site_occupancy
Nd1 0.0000 0.0000 0.0000 1
Sc1 0.0000 0.0000 0.5000 1
Tl1 0.2500 0.2500 0.2500 1
Rh1 0.2500 0.2500 0.7500 1
# ΔE_f (eV/atom): -0.3968

---

(7)
# NdScZnRh, optimized geometry, DFT GGA-PBE
data_NdScZnRh
_chemical_formula_sum 'Nd4 Sc4 Zn4 Rh4'
_space_group_name_H-M_alt 'F -4 3 m'
_space_group_IT_number 216
_space_group_name_Hall 'F -4 2 3'
_cell_length_a 6.9244
_cell_length_b 6.9244
_cell_length_c 6.9244
_cell_angle_alpha 90.00
_cell_angle_beta 90.00
_cell_angle_gamma 90.00
loop_
_atom_site_label
_atom_site_fract_x
_atom_site_fract_y
_atom_site_fract_z
_atom_site_occupancy
Nd1 0.0000 0.0000 0.0000 1
Sc1 0.0000 0.0000 0.5000 1
Zn1 0.2500 0.2500 0.7500 1
Rh1 0.2500 0.2500 0.2500 1
# ΔE_f (eV/atom): -0.5094

---

(8)
# Nd5RhSe4, optimized geometry, DFT GGA-PBE
data_Nd5RhSe4
_chemical_formula_sum 'Nd10 Rh2 Se8'
_space_group_name_H-M_alt 'I 4/m m m'
_space_group_IT_number 139
_space_group_name_Hall '-I 4 2'
_cell_length_a 4.2250
_cell_length_b 4.2250
_cell_length_c 29.8938
_cell_angle_alpha 90.00
_cell_angle_beta 90.00
_cell_angle_gamma 90.00
loop_
_atom_site_label
_atom_site_fract_x
_atom_site_fract_y
_atom_site_fract_z
_atom_site_occupancy
Nd1 0.0000 0.0000 0.0000 1
Nd2 0.0000 0.0000 0.2037 1
Nd3 0.0000 0.0000 0.4063 1
Rh1 0.0000 0.0000 0.5000 1
Se1 0.0000 0.0000 0.1024 1
Se2 0.0000 0.0000 0.3045 1
# Uncorrected formation energy (meV per atom): -1584

---

(9)
# Nd2RhSe, optimized geometry, DFT GGA-PBE
data_Nd2RhSe
_chemical_formula_sum 'Nd4 Rh2 Se2'
_space_group_name_H-M_alt 'C 1 2/m 1'
_space_group_IT_number 12
_cell_length_a 7.1072
_cell_length_b 4.0944
_cell_length_c 7.6594
_cell_angle_alpha 90.00
_cell_angle_beta 107.85
_cell_angle_gamma 90.00
loop_
_space_group_symop_operation_xyz
'x,y,z'
'-x,-y,-z'
'-x,y,-z'
'x,-y,z'
'x+1/2,y+1/2,z'
'-x+1/2,-y+1/2,-z'
'-x+1/2,y+1/2,-z'
'x+1/2,-y+1/2,z'
loop_
_atom_site_label
_atom_site_fract_x
_atom_site_fract_y
_atom_site_fract_z
_atom_site_occupancy
Nd1 0.2433 0.0000 0.2294 1
Rh1 0.0000 0.5000 0.0000 1
Se1 0.0000 0.0000 0.5000 1
# Uncorrected formation energy (meV per atom): -1195
# Offset from the most stable computed form (meV per atom): 39.2

---

(10)
# NdRhSe2, optimized geometry, DFT GGA-PBE
data_NdRhSe2
_chemical_formula_sum 'Nd3 Rh3 Se6'
_space_group_name_H-M_alt 'R -3 m'
_space_group_IT_number 166
_space_group_name_Hall '-R 3 2"'
_cell_length_a 3.7972
_cell_length_b 3.7972
_cell_length_c 25.0794
_cell_angle_alpha 90.00
_cell_angle_beta 90.00
_cell_angle_gamma 120.00
loop_
_atom_site_label
_atom_site_fract_x
_atom_site_fract_y
_atom_site_fract_z
_atom_site_occupancy
Nd1 0.0000 0.0000 0.0000 1
Rh1 0.0000 0.0000 0.5000 1
Se1 0.0000 0.0000 0.1166 1
# Uncorrected formation energy (meV per atom): -479

---

(11)
# Nd2RhSe, optimized geometry, DFT GGA-PBE
data_Nd2RhSe
_chemical_formula_sum 'Nd8 Rh4 Se4'
_space_group_name_H-M_alt 'C m c m'
_space_group_IT_number 63
_space_group_name_Hall '-C 2c 2'
_cell_length_a 4.0472
_cell_length_b 23.2103
_cell_length_c 4.3173
_cell_angle_alpha 90.00
_cell_angle_beta 90.00
_cell_angle_gamma 90.00
loop_
_atom_site_label
_atom_site_fract_x
_atom_site_fract_y
_atom_site_fract_z
_atom_site_occupancy
Nd1 0.0000 0.0614 0.2500 1
Nd2 0.0000 0.3258 0.2500 1
Rh1 0.0000 0.4553 0.2500 1
Se1 0.0000 0.1921 0.2500 1
# Uncorrected formation energy (meV per atom): -1234
# Offset from the most stable computed form (meV per atom): 0.0

---

(12)
# Nd2RhSe, optimized geometry, DFT GGA-PBE
data_Nd2RhSe
_chemical_formula_sum 'Nd6 Rh3 Se3'
_space_group_name_H-M_alt 'R 3 m'
_space_group_IT_number 160
_space_group_name_Hall 'R 3 -2"'
_cell_length_a 4.0825
_cell_length_b 4.0825
_cell_length_c 22.2691
_cell_angle_alpha 90.00
_cell_angle_beta 90.00
_cell_angle_gamma 120.00
loop_
_atom_site_label
_atom_site_fract_x
_atom_site_fract_y
_atom_site_fract_z
_atom_site_occupancy
Nd1 0.0000 0.0000 0.0000 1
Nd2 0.0000 0.0000 0.1837 1
Rh1 0.0000 0.0000 0.5915 1
Se1 0.0000 0.0000 0.4250 1
# Uncorrected formation energy (meV per atom): -1153
# Offset from the most stable computed form (meV per atom): 81.5

---

Total magnetic moment, record by record: 0.00 0.00 0.00 0.00 0.00 0.00 0.00 0.00 0.00 0.00 0.00 0.00 μB per formula unit